CaFe2Cu3Sb2O12: optimized geometry, PBEsol.

Cell lengths 7.486, 7.486, 7.486 Å; angles 90.00, 90.00, 90.00 degrees
Element x y z (fractional)
Ca 0.250 0.250 0.250
Ca 0.750 0.750 0.750
Fe 0.000 0.000 0.000
Fe 0.000 0.500 0.500
Fe 0.500 0.000 0.500
Fe 0.500 0.500 0.000
Cu 0.250 0.250 0.750
Cu 0.250 0.750 0.250
Cu 0.250 0.750 0.750
Cu 0.750 0.250 0.250
Cu 0.750 0.250 0.750
Cu 0.750 0.750 0.250
Sb 0.000 0.000 0.500
Sb 0.000 0.500 0.000
Sb 0.500 0.000 0.000
Sb 0.500 0.500 0.500
O 0.056 0.750 0.577
O 0.056 0.750 0.923
O 0.077 0.556 0.250
O 0.077 0.944 0.250
O 0.250 0.077 0.556
O 0.250 0.077 0.944
O 0.250 0.423 0.556
O 0.250 0.423 0.944
O 0.423 0.556 0.250
O 0.423 0.944 0.250
O 0.444 0.750 0.577
O 0.444 0.750 0.923
O 0.556 0.250 0.077
O 0.556 0.250 0.423
O 0.577 0.056 0.750
O 0.577 0.444 0.750
O 0.750 0.577 0.056
O 0.750 0.577 0.444
O 0.750 0.923 0.056
O 0.750 0.923 0.444
O 0.923 0.056 0.750
O 0.923 0.444 0.750
O 0.944 0.250 0.077
O 0.944 0.250 0.423

## Properties
total magnetic moment	6.89	μB/f.u.
raw formation energy	-1.30	eV per atom
symmetry	No. 201
calculated volume	10.487	Å³/atom